Record 1
First-principles (SCAN) data for MnNb2TlZn at its PBEsol-relaxed geometry, as listed in the Alexandria database.

Cell and atoms, written as POSCAR:
```
MnNb2TlZn
1.0
4.743 0.000 0.000
0.000 4.743 0.000
0.000 0.000 4.709
Mn Nb Tl Zn
1 2 1 1
Direct
0.000 0.000 0.000 Mn
0.000 0.500 0.500 Nb
0.500 0.000 0.500 Nb
0.500 0.500 0.000 Tl
0.500 0.500 0.500 Zn
```

Calculated values
Formation energy: 1105 meV/atom
M_tot: 2.59 μB/f.u.
VASP energy: -32.973 eV/atom

---

Record 2
First-principles (SCAN) data for YZrMnNb2 at its PBEsol-relaxed geometry, as listed in the Alexandria database.

Cell and atoms, written as POSCAR:
```
YZrMnNb2
1.0
4.833 0.000 0.000
0.000 4.833 0.000
0.000 0.000 5.306
Y Zr Mn Nb
1 1 1 2
Direct
0.000 0.000 0.000 Y
0.000 0.000 0.500 Zr
0.500 0.500 0.000 Mn
0.000 0.500 0.500 Nb
0.500 0.000 0.500 Nb
```

Calculated values
Formation energy: 1368 meV/atom
M_tot: 3.31 μB/f.u.
VASP energy: -27.243 eV/atom